Na2Sm2PdO6 | GGA-PBE | relaxed

abc: 5.9046 5.9046 5.8810
angles: 96.58 96.58 120.34
Fractional coordinates of all 11 atoms:
O1 0.2450 0.2450 0.2960
O2 0.3446 0.0354 0.6923
Pd1 0.0000 0.0000 0.5000
Na1 0.8637 0.1363 0.0000
Na2 0.1363 0.8637 0.0000
O3 0.0354 0.3446 0.6923
O4 0.7550 0.7550 0.7040
O5 0.6554 0.9646 0.3077
Sm1 0.6627 0.3373 0.5000
Sm2 0.3373 0.6627 0.5000
O6 0.9646 0.6554 0.3077

Results
Space-group type ... C2/m
Magnetization ... 0.00 Bohr magnetons per cell
Final energy ... -6.293 eV per atom